1.
Here is an optimized crystal structure of Tm2InGe from Alexandria. Energies are from PBE-GGA.

Lattice parameters (Å, degrees): 3.783 3.783 8.728 77.48 77.48 60.00
Fractional positions:
Ge 0.000 0.000 0.000
Tm 0.739 0.739 0.782
Tm 0.261 0.261 0.218
In 0.500 0.500 0.500

Output
Space-group type: R-3m
Crystal system: trigonal
Energy relative to the elements (eV/atom): -0.463
Spin magnetization (μB per cell): 0.00



2.
Here is an optimized crystal structure of Tm4InGe from Alexandria. Energies are from PBE-GGA.

Lattice parameters (Å, degrees): 6.231 6.737 8.765 102.58 110.83 90.04
Fractional positions:
Tm 0.536 0.041 0.835
Tm 0.702 0.460 0.165
Tm 0.464 0.959 0.165
Tm 0.298 0.540 0.835
Tm 0.950 0.894 0.664
Tm 0.286 0.606 0.335
Tm 0.050 0.106 0.336
Tm 0.714 0.394 0.665
In 0.912 0.750 0.000
In 0.088 0.250 0.000
Ge 0.500 0.000 0.500
Ge 0.000 0.500 0.500

Output
Space-group type: P-1
Crystal system: triclinic
Energy relative to the elements (eV/atom): -0.277
Spin magnetization (μB per cell): 0.32



3.
Here is an optimized crystal structure of Tm8In2Ge from Alexandria. Energies are from PBE-GGA.

Lattice parameters (Å, degrees): 5.010 6.631 9.780 103.75 104.84 90.00
Fractional positions:
Tm 0.410 0.544 0.820
Tm 0.650 0.985 0.300
Tm 0.786 0.688 0.571
Tm 0.979 0.228 0.957
Tm 0.214 0.312 0.429
Tm 0.350 0.015 0.700
Tm 0.590 0.456 0.180
Tm 0.021 0.772 0.043
In 0.817 0.247 0.633
In 0.183 0.753 0.367
Ge 0.500 0.000 0.000

Output
Space-group type: C2/m
Crystal system: monoclinic
Energy relative to the elements (eV/atom): -0.286
Spin magnetization (μB per cell): 0.00



4.
Here is an optimized crystal structure of Tm4InGe2 from Alexandria. Energies are from PBE-GGA.

Lattice parameters (Å, degrees): 8.376 8.376 7.556 109.37 109.34 113.72
Fractional positions:
Tm 0.897 0.240 0.289
Tm 0.353 0.510 0.211
Tm 0.951 0.608 0.711
Tm 0.760 0.104 0.711
Tm 0.392 0.049 0.289
Tm 0.299 0.142 0.789
Tm 0.490 0.647 0.789
Tm 0.858 0.701 0.211
In 0.250 0.750 0.500
In 0.000 0.000 0.000
Ge 0.625 0.375 0.750
Ge 0.625 0.875 0.250
Ge 0.625 0.375 0.250
Ge 0.125 0.375 0.750

Output
Space-group type: Fddd
Crystal system: orthorhombic
Energy relative to the elements (eV/atom): -0.455
Spin magnetization (μB per cell): 0.00



5.
Here is an optimized crystal structure of Tm2InGe from Alexandria. Energies are from PBE-GGA.

Lattice parameters (Å, degrees): 3.332 3.332 8.520 90.00 90.00 90.00
Fractional positions:
Ge 0.500 0.500 0.000
Tm 0.000 0.000 0.776
Tm 0.000 0.000 0.224
In 0.500 0.500 0.500

Output
Space-group type: P4/mmm
Crystal system: tetragonal
Energy relative to the elements (eV/atom): -0.516
Spin magnetization (μB per cell): 0.00



6.
Here is an optimized crystal structure of UIn2Ge from Alexandria. Energies are from PBE-GGA.

Lattice parameters (Å, degrees): 4.908 4.316 4.316 90.00 90.00 90.00
Each line ends with the local moment (μB).
Fractional positions:
Ge 0.500 0.500 0.500  -0.02
U 0.500 0.000 0.000  2.20
In 0.000 0.000 0.500  0.02
In 0.000 0.500 0.000  0.02

Output
Space-group type: P4/mmm
Crystal system: tetragonal
Energy relative to the elements (eV/atom): -0.083
Spin magnetization (μB per cell): 2.44



7.
Here is an optimized crystal structure of UInGe from Alexandria. Energies are from PBE-GGA.

Lattice parameters (Å, degrees): 3.810 4.778 7.511 71.45 90.00 90.00
Fractional positions:
U 0.250 0.941 0.118
U 0.750 0.059 0.882
In 0.250 0.260 0.479
In 0.750 0.740 0.521
Ge 0.250 0.571 0.858
Ge 0.750 0.429 0.142

Output
Space-group type: Cmcm
Crystal system: orthorhombic
Energy relative to the elements (eV/atom): -0.095
Spin magnetization (μB per cell): 0.00



8.
Here is an optimized crystal structure of VInGe2 from Alexandria. Energies are from PBE-GGA.

Lattice parameters (Å, degrees): 4.352 4.352 9.307 76.48 76.48 90.00
Each line ends with the local moment (μB).
Fractional positions:
Ge 0.546 0.125 0.250  -0.02
Ge 0.204 0.625 0.250  -0.02
Ge 0.375 0.454 0.750  -0.02
Ge 0.875 0.796 0.750  -0.02
In 0.000 0.000 0.000  0.00
In 0.750 0.250 0.500  0.00
V 0.500 0.500 0.000  1.81
V 0.250 0.750 0.500  1.81

Output
Space-group type: I-42d
Crystal system: tetragonal
Energy relative to the elements (eV/atom): 0.342
Spin magnetization (μB per cell): 4.15